8
Lattice="7.047 0.000 0.000 0.000 4.096 0.000 -2.392 0.000 6.781" Properties=species:S:1:pos:R:3 comment="NdPu2ScSe4, relaxed, DFT PBE-GGA" density_g_cm3=8.43 total_energy_ev_per_fu=-66.5 e_form_raw_mev_per_atom=-1606 crystal_system=monoclinic n_ef_per_ev_atom=2.28 m_tot_mub_per_cell=0.1 pbc="T T T"
Nd 0.000 0.000 0.000
Pu 2.328 0.000 3.390
Pu 3.524 2.048 0.000
Sc -1.196 2.048 3.390
Se -0.072 0.000 4.984
Se 1.123 2.048 1.781
Se 3.533 2.048 5.000
Se 4.728 0.000 1.797